Entry 1:
# ZrBeP3 PBE optimized geometry
data_ZrBeP3
_cell_length_a 4.990
_cell_length_b 4.990
_cell_length_c 4.990
_cell_angle_alpha 90.00
_cell_angle_beta 90.00
_cell_angle_gamma 90.00
_space_group_name_H-M_alt 'P m -3 m'
_space_group_IT_number 221
_space_group_name_Hall '-P 4 2 3'
loop_
_atom_site_label
_atom_site_type_symbol
_atom_site_fract_x
_atom_site_fract_y
_atom_site_fract_z
_atom_site_occupancy
Zr1 Zr 0.000 0.000 0.000 1
Be1 Be 0.500 0.500 0.500 1
P1 P 0.000 0.000 0.500 1
# energy of formation from the pure elements: 918 meV per atom
# polymorph energy (0 for the lowest one): 695 meV per atom
# energy: -23.9 eV per cell

***

Entry 2:
# PaBe11 PBE optimized geometry
data_PaBe11
_cell_length_a 8.958
_cell_length_b 8.958
_cell_length_c 5.857
_cell_angle_alpha 90.00
_cell_angle_beta 90.00
_cell_angle_gamma 90.00
_space_group_name_H-M_alt 'I 41/a m d'
_space_group_IT_number 141
loop_
_space_group_symop_operation_xyz
'x,y,z'
'-x,-y,-z'
'-y+1/4,x+3/4,z+1/4'
'y+1/4,-x+3/4,-z+1/4'
'-x+1/2,-y,z+1/2'
'x+1/2,y,-z+1/2'
'y+1/4,-x+1/4,z+3/4'
'-y+1/4,x+1/4,-z+3/4'
'x,-y,-z'
'-x,y,z'
'-y+1/4,-x+1/4,-z+3/4'
'y+1/4,x+1/4,z+3/4'
'-x+1/2,y,-z+1/2'
'x+1/2,-y,z+1/2'
'y+1/4,x+3/4,-z+1/4'
'-y+1/4,-x+3/4,z+1/4'
'x+1/2,y+1/2,z+1/2'
'-x+1/2,-y+1/2,-z+1/2'
'-y+3/4,x+1/4,z+3/4'
'y+3/4,-x+1/4,-z+3/4'
'-x,-y+1/2,z'
'x,y+1/2,-z'
'y+3/4,-x+3/4,z+1/4'
'-y+3/4,x+3/4,-z+1/4'
'x+1/2,-y+1/2,-z+1/2'
'-x+1/2,y+1/2,z+1/2'
'-y+3/4,-x+3/4,-z+1/4'
'y+3/4,x+3/4,z+1/4'
'-x,y+1/2,-z'
'x,-y+1/2,z'
'y+3/4,x+1/4,-z+3/4'
'-y+3/4,-x+1/4,z+3/4'
loop_
_atom_site_label
_atom_site_type_symbol
_atom_site_fract_x
_atom_site_fract_y
_atom_site_fract_z
_atom_site_occupancy
Pa1 Pa 0.000 0.250 0.375 1
Be1 Be 0.000 0.000 0.000 1
Be2 Be 0.000 0.250 0.875 1
Be3 Be 0.128 0.044 0.692 1
# energy of formation from the pure elements: -102 meV per atom
# energy: -206.8 eV per cell

***

Entry 3:
# Pa2Be17 PBE optimized geometry
data_Pa2Be17
_cell_length_a 7.7443
_cell_length_b 7.7443
_cell_length_c 11.3790
_cell_angle_alpha 90.00
_cell_angle_beta 90.00
_cell_angle_gamma 120.00
_space_group_name_H-M_alt 'R -3 m'
_space_group_IT_number 166
_space_group_name_Hall '-R 3 2"'
loop_
_atom_site_label
_atom_site_type_symbol
_atom_site_fract_x
_atom_site_fract_y
_atom_site_fract_z
_atom_site_occupancy
Pa1 Pa 0.0000 0.0000 0.1592 1
Be1 Be 0.0000 0.0000 0.4046 1
Be2 Be 0.0000 0.2772 0.5000 1
Be3 Be 0.0000 0.5000 0.0000 1
Be4 Be 0.0033 0.5017 0.3397 1
# energy of formation from the pure elements: -78 meV per atom
# energy: -251.4 eV per cell

***

- energy of number 3 (Pa2Be17)?
  -251.4 eV per cell